No. 1
# LaMn5, optimized geometry, DFT PBE
# Total energy, eV/atom: -7.91
# Energy relative to the elements, eV/atom: 0.552
# Magnetization, μB per formula unit: 16.91
data_LaMn5
_symmetry_space_group_name_H-M 'P 1'
_symmetry_Int_Tables_number 1
_cell_length_a 5.434
_cell_length_b 5.434
_cell_length_c 5.434
_cell_angle_alpha 55.86
_cell_angle_beta 55.86
_cell_angle_gamma 55.86
loop_
_symmetry_equiv_pos_as_xyz
'x,y,z'
loop_
_atom_site_label
_atom_site_fract_x
_atom_site_fract_y
_atom_site_fract_z
La1 0.000 0.000 0.000
Mn1 0.197 0.500 0.803
Mn2 0.327 0.327 0.327
Mn3 0.500 0.803 0.197
Mn4 0.673 0.673 0.673
Mn5 0.803 0.197 0.500


No. 2
# Dy3B8Os3, optimized geometry, DFT PBE
# Total energy, eV/atom: -7.33
# Energy relative to the elements, eV/atom: -0.119
# Magnetization, μB per formula unit: 0.00
data_Dy3B8Os3
_symmetry_space_group_name_H-M 'P 1'
_symmetry_Int_Tables_number 1
_cell_length_a 7.318
_cell_length_b 7.318
_cell_length_c 7.318
_cell_angle_alpha 153.69
_cell_angle_beta 100.80
_cell_angle_gamma 85.19
loop_
_symmetry_equiv_pos_as_xyz
'x,y,z'
loop_
_atom_site_label
_atom_site_fract_x
_atom_site_fract_y
_atom_site_fract_z
Dy1 0.000 0.000 0.000
Dy2 0.290 0.290 0.000
Dy3 0.710 0.710 0.000
B1 0.010 0.305 0.705
B2 0.156 0.860 0.296
B3 0.401 0.695 0.705
B4 0.435 0.140 0.296
B5 0.565 0.860 0.704
B6 0.599 0.305 0.295
B7 0.844 0.140 0.704
B8 0.990 0.695 0.295
Os1 0.262 0.500 0.762
Os2 0.500 0.000 0.500
Os3 0.738 0.500 0.238